No. 1
First-principles (GGA+U) data for a relaxed structure of TiCrOF2, as listed in the Alexandria database.

Calculated values
Excess energy over the best structure of this formula in the dataset in meV/atom: 619
Crystal system: tetragonal

```
data_TiCrOF2
_cell_length_a 4.042
_cell_length_b 4.042
_cell_length_c 3.995
_cell_angle_alpha 90.00
_cell_angle_beta 90.00
_cell_angle_gamma 90.00
_space_group_name_H-M_alt 'P 4/m m m'
_space_group_IT_number 123
_space_group_name_Hall '-P 4 2'
loop_
_atom_site_label
_atom_site_type_symbol
_atom_site_fract_x
_atom_site_fract_y
_atom_site_fract_z
_atom_site_occupancy
Ti1 Ti 0.000 0.000 0.000 1
Cr1 Cr 0.500 0.500 0.500 1
O1 O 0.500 0.500 0.000 1
F1 F 0.000 0.500 0.500 1
```

---

No. 2
First-principles (GGA+U) data for a relaxed structure of TiCrO2F, as listed in the Alexandria database.

Calculated values
Final energy in eV per atom: -7.028
Crystal system: tetragonal

```
data_TiCrO2F
_cell_length_a 3.936
_cell_length_b 3.936
_cell_length_c 3.759
_cell_angle_alpha 90.00
_cell_angle_beta 90.00
_cell_angle_gamma 90.00
_space_group_name_H-M_alt 'P 4/m m m'
_space_group_IT_number 123
_space_group_name_Hall '-P 4 2'
loop_
_atom_site_label
_atom_site_type_symbol
_atom_site_fract_x
_atom_site_fract_y
_atom_site_fract_z
_atom_site_occupancy
Ti1 Ti 0.000 0.000 0.000 1
Cr1 Cr 0.500 0.500 0.500 1
O1 O 0.000 0.500 0.500 1
F1 F 0.500 0.500 0.000 1
```

---

No. 3
First-principles (GGA+U) data for a relaxed structure of TiCrO2F, as listed in the Alexandria database.

Calculated values
Final energy in eV per atom: -7.617
Crystal system: tetragonal

```
data_TiCrO2F
_cell_length_a 3.869
_cell_length_b 3.869
_cell_length_c 4.005
_cell_angle_alpha 90.00
_cell_angle_beta 90.00
_cell_angle_gamma 90.00
_space_group_name_H-M_alt 'P 4/m m m'
_space_group_IT_number 123
_space_group_name_Hall '-P 4 2'
loop_
_atom_site_label
_atom_site_type_symbol
_atom_site_fract_x
_atom_site_fract_y
_atom_site_fract_z
_atom_site_occupancy
Ti1 Ti 0.000 0.000 0.000 1
Cr1 Cr 0.500 0.500 0.500 1
O1 O 0.000 0.500 0.000 1
F1 F 0.000 0.000 0.500 1
```

---

No. 4
First-principles (GGA+U) data for a relaxed structure of TiCrOF2, as listed in the Alexandria database.

Calculated values
Excess energy over the best structure of this formula in the dataset in meV/atom: 0
Crystal system: tetragonal

```
data_TiCrOF2
_cell_length_a 4.119
_cell_length_b 4.119
_cell_length_c 3.848
_cell_angle_alpha 90.00
_cell_angle_beta 90.00
_cell_angle_gamma 90.00
_space_group_name_H-M_alt 'P 4/m m m'
_space_group_IT_number 123
_space_group_name_Hall '-P 4 2'
loop_
_atom_site_label
_atom_site_type_symbol
_atom_site_fract_x
_atom_site_fract_y
_atom_site_fract_z
_atom_site_occupancy
Ti1 Ti 0.000 0.000 0.000 1
Cr1 Cr 0.500 0.500 0.500 1
O1 O 0.000 0.000 0.500 1
F1 F 0.000 0.500 0.000 1
```

---

No. 5
First-principles (GGA+U) data for a relaxed structure of TlCrOF2, as listed in the Alexandria database.

Calculated values
Excess energy over the best structure of this formula in the dataset in meV/atom: 875
Crystal system: tetragonal

```
data_TlCrOF2
_cell_length_a 4.554
_cell_length_b 4.554
_cell_length_c 4.184
_cell_angle_alpha 90.00
_cell_angle_beta 90.00
_cell_angle_gamma 90.00
_space_group_name_H-M_alt 'P 4/m m m'
_space_group_IT_number 123
_space_group_name_Hall '-P 4 2'
loop_
_atom_site_label
_atom_site_type_symbol
_atom_site_fract_x
_atom_site_fract_y
_atom_site_fract_z
_atom_site_occupancy
Tl1 Tl 0.000 0.000 0.000 1
Cr1 Cr 0.500 0.500 0.500 1
O1 O 0.000 0.000 0.500 1
F1 F 0.000 0.500 0.000 1
```

---

No. 6
First-principles (GGA+U) data for a relaxed structure of TlCrOF2, as listed in the Alexandria database.

Calculated values
Excess energy over the best structure of this formula in the dataset in meV/atom: 0
Crystal system: tetragonal

```
data_TlCrOF2
_cell_length_a 4.178
_cell_length_b 4.178
_cell_length_c 3.953
_cell_angle_alpha 90.00
_cell_angle_beta 90.00
_cell_angle_gamma 90.00
_space_group_name_H-M_alt 'P 4/m m m'
_space_group_IT_number 123
_space_group_name_Hall '-P 4 2'
loop_
_atom_site_label
_atom_site_type_symbol
_atom_site_fract_x
_atom_site_fract_y
_atom_site_fract_z
_atom_site_occupancy
Tl1 Tl 0.000 0.000 0.000 1
Cr1 Cr 0.500 0.500 0.500 1
O1 O 0.500 0.500 0.000 1
F1 F 0.000 0.500 0.500 1
```

---

No. 7
First-principles (GGA+U) data for a relaxed structure of Tl2CrOF5, as listed in the Alexandria database.

Calculated values
Final energy in eV per atom: -4.884
Crystal system: tetragonal

```
data_Tl2CrOF5
_cell_length_a 6.159
_cell_length_b 6.159
_cell_length_c 8.578
_cell_angle_alpha 90.00
_cell_angle_beta 90.00
_cell_angle_gamma 90.00
_space_group_name_H-M_alt 'I 4 m m'
_space_group_IT_number 107
_space_group_name_Hall 'I 4 -2'
loop_
_atom_site_label
_atom_site_type_symbol
_atom_site_fract_x
_atom_site_fract_y
_atom_site_fract_z
_atom_site_occupancy
Tl1 Tl 0.000 0.500 0.000 1
Cr1 Cr 0.000 0.000 0.248 1
O1 O 0.000 0.000 0.438 1
F1 F 0.000 0.000 0.024 1
F2 F 0.215 0.215 0.228 1
```

---

No. 8
First-principles (GGA+U) data for a relaxed structure of TmCrO4F, as listed in the Alexandria database.

Calculated values
Final energy in eV per atom: -7.188
Crystal system: monoclinic

```
data_TmCrO4F
_cell_length_a 9.180
_cell_length_b 7.131
_cell_length_c 6.652
_cell_angle_alpha 90.00
_cell_angle_beta 106.91
_cell_angle_gamma 90.00
_space_group_name_H-M_alt 'C 1 2/m 1'
_space_group_IT_number 12
loop_
_space_group_symop_operation_xyz
'x,y,z'
'-x,-y,-z'
'-x,y,-z'
'x,-y,z'
'x+1/2,y+1/2,z'
'-x+1/2,-y+1/2,-z'
'-x+1/2,y+1/2,-z'
'x+1/2,-y+1/2,z'
loop_
_atom_site_label
_atom_site_type_symbol
_atom_site_fract_x
_atom_site_fract_y
_atom_site_fract_z
_atom_site_occupancy
Tm1 Tm 0.204 0.000 0.104 1
Cr1 Cr 0.151 0.500 0.278 1
O1 O 0.033 0.500 0.758 1
O2 O 0.201 0.315 0.153 1
O3 O 0.241 0.500 0.529 1
F1 F 0.013 0.000 0.822 1
```

---

The calculated volume results, record by record, are as follows: 13.06; 11.65; 11.99; 13.06; 17.35; 13.80; 18.07; 14.88 Å³/atom.
The density results, record by record, are as follows: 3.91; 4.30; 4.18; 3.91; 5.94; 7.47; 5.84; 4.85 g/cm3.
The M_tot results, record by record, are as follows: 6.00; 5.00; 4.91; 6.00; 4.86; 3.00; 1.99; 0.00 μB/cell.